Computed, not measured: a relaxed CoTe4Pd5 crystal at the PBE-GGA level of DFT.

Computed properties:
**Raw formation energy**: -0.19 eV/atom
**Symmetry**: C2/m, No. 12
**DOS(E_F)**: 0.48 states/eV per atom

abc: 3.7282 6.9724 8.6247
angles: 117.62 102.48 90.00
Element x y z (fractional)
Co 0.5000 0.0000 0.0000
Te 0.3465 0.9889 0.6929
Te 0.9345 0.7110 0.8690
Te 0.6535 0.0111 0.3071
Te 0.0655 0.2890 0.1310
Pd 0.7653 0.6590 0.5306
Pd 0.8499 0.2772 0.6998
Pd 0.1501 0.7228 0.3002
Pd 0.5000 0.5000 0.0000
Pd 0.2347 0.3410 0.4694